Here is crystalline MnIn at its relaxed geometry from Alexandria via LeMat-Bulk. Energies are from GGA-PBE.

The space group is R-3m (No. 166, hexagonal axes) and the conventional cell measures 3.1638, 3.1638 and 24.9782 Å, with angles of 90.00, 90.00 and 120.00 degrees. The distinct sites, in fractional coordinates, are Mn at (0.0000, 0.0000, 0.1434) and In at (0.0000, 0.0000, 0.3871).

As for the raw total energy: -5.50 eV/atom. The density of states at the Fermi level is 5.41 states/eV per cell. As for the formation energy: 0.91 eV per formula unit.